No. 1
Computed, not measured: a relaxed structure of CsLiPtRh2 at the GGA-PBE level of DFT.

Summary:
VASP energy = -3.749 eV per atom
DFT formation energy = 953 meV/atom
magnetization = 0.113 μB per atom

```
data_CsLiPtRh2
_chemical_formula_sum 'Cs1 Li1 Pt1 Rh2'
_cell_length_a 4.907
_cell_length_b 4.907
_cell_length_c 6.132
_cell_angle_alpha 90.00
_cell_angle_beta 90.00
_cell_angle_gamma 90.00
_symmetry_space_group_name_H-M 'P 4/m m m'
_symmetry_Int_Tables_number 123
_symmetry_space_group_name_Hall '-P 4 2'
loop_
_atom_site_label
_atom_site_type_symbol
_atom_site_fract_x
_atom_site_fract_y
_atom_site_fract_z
Cs1 Cs 0.000 0.000 0.000
Li1 Li 0.500 0.500 0.000
Pt1 Pt 0.000 0.000 0.500
Rh1 Rh 0.000 0.500 0.500
```

No. 2
Computed, not measured: a relaxed structure of Cs2LiPtRh at the GGA-PBE level of DFT.

Summary:
VASP energy = -2.718 eV per atom
DFT formation energy = 684 meV/atom
magnetization = 0.091 μB per atom

```
data_Cs2LiPtRh
_chemical_formula_sum 'Cs2 Li1 Pt1 Rh1'
_cell_length_a 5.695
_cell_length_b 5.695
_cell_length_c 4.922
_cell_angle_alpha 90.00
_cell_angle_beta 90.00
_cell_angle_gamma 90.00
_symmetry_space_group_name_H-M 'P 4/m m m'
_symmetry_Int_Tables_number 123
_symmetry_space_group_name_Hall '-P 4 2'
loop_
_atom_site_label
_atom_site_type_symbol
_atom_site_fract_x
_atom_site_fract_y
_atom_site_fract_z
Cs1 Cs 0.000 0.500 0.000
Li1 Li 0.000 0.000 0.500
Pt1 Pt 0.500 0.500 0.500
Rh1 Rh 0.000 0.000 0.000
```

No. 3
Computed, not measured: a relaxed structure of CsLi2SiPt at the GGA-PBE level of DFT.

Summary:
VASP energy = -3.521 eV per atom
uncorrected formation energy = -1.46 eV/f.u.
magnetization = 0.000 μB per atom

```
data_CsLi2SiPt
_chemical_formula_sum 'Cs1 Li2 Si1 Pt1'
_cell_length_a 5.261
_cell_length_b 5.261
_cell_length_c 4.586
_cell_angle_alpha 90.00
_cell_angle_beta 90.00
_cell_angle_gamma 90.00
_symmetry_space_group_name_H-M 'P 4/m m m'
_symmetry_Int_Tables_number 123
_symmetry_space_group_name_Hall '-P 4 2'
loop_
_atom_site_label
_atom_site_type_symbol
_atom_site_fract_x
_atom_site_fract_y
_atom_site_fract_z
Cs1 Cs 0.000 0.000 0.000
Li1 Li 0.000 0.500 0.500
Si1 Si 0.500 0.500 0.000
Pt1 Pt 0.500 0.500 0.500
```

No. 4
Computed, not measured: a relaxed structure of CsLiTl2Pt at the GGA-PBE level of DFT.

Summary:
VASP energy = -2.861 eV per atom
DFT formation energy = -153 meV/atom
magnetization = 0.000 μB per atom

```
data_CsLiTl2Pt
_chemical_formula_sum 'Cs1 Li1 Tl2 Pt1'
_cell_length_a 5.383
_cell_length_b 5.383
_cell_length_c 5.452
_cell_angle_alpha 90.00
_cell_angle_beta 90.00
_cell_angle_gamma 90.00
_symmetry_space_group_name_H-M 'P 4/m m m'
_symmetry_Int_Tables_number 123
_symmetry_space_group_name_Hall '-P 4 2'
loop_
_atom_site_label
_atom_site_type_symbol
_atom_site_fract_x
_atom_site_fract_y
_atom_site_fract_z
Cs1 Cs 0.000 0.000 0.000
Li1 Li 0.500 0.500 0.000
Tl1 Tl 0.000 0.500 0.500
Pt1 Pt 0.500 0.500 0.500
```

No. 5
Computed, not measured: a relaxed structure of CsLi2TlPt at the GGA-PBE level of DFT.

Summary:
VASP energy = -2.777 eV per atom
DFT formation energy = -159 meV/atom
magnetization = 0.000 μB per atom

```
data_CsLi2TlPt
_chemical_formula_sum 'Cs1 Li2 Tl1 Pt1'
_cell_length_a 5.296
_cell_length_b 5.296
_cell_length_c 5.308
_cell_angle_alpha 90.00
_cell_angle_beta 90.00
_cell_angle_gamma 90.00
_symmetry_space_group_name_H-M 'P 4/m m m'
_symmetry_Int_Tables_number 123
_symmetry_space_group_name_Hall '-P 4 2'
loop_
_atom_site_label
_atom_site_type_symbol
_atom_site_fract_x
_atom_site_fract_y
_atom_site_fract_z
Cs1 Cs 0.000 0.000 0.000
Li1 Li 0.000 0.500 0.500
Tl1 Tl 0.500 0.500 0.000
Pt1 Pt 0.500 0.500 0.500
```

No. 6
Computed, not measured: a relaxed structure of CsLi2ZnPt at the GGA-PBE level of DFT.

Summary:
VASP energy = -2.561 eV per atom
DFT formation energy = -162 meV/atom
magnetization = 0.000 μB per atom

```
data_CsLi2ZnPt
_chemical_formula_sum 'Cs1 Li2 Zn1 Pt1'
_cell_length_a 5.094
_cell_length_b 5.094
_cell_length_c 5.078
_cell_angle_alpha 90.00
_cell_angle_beta 90.00
_cell_angle_gamma 90.00
_symmetry_space_group_name_H-M 'P 4/m m m'
_symmetry_Int_Tables_number 123
_symmetry_space_group_name_Hall '-P 4 2'
loop_
_atom_site_label
_atom_site_type_symbol
_atom_site_fract_x
_atom_site_fract_y
_atom_site_fract_z
Cs1 Cs 0.000 0.000 0.000
Li1 Li 0.000 0.500 0.500
Zn1 Zn 0.500 0.500 0.000
Pt1 Pt 0.500 0.500 0.500
```